YCrO2F | GGA+U | relaxed

extended XYZ file:
```
5
Lattice="-0.6798 -4.3592 -0.1549 2.9645 -0.5767 3.2199 -3.1025 0.3799 2.9245" Properties=species:S:1:pos:R:3 pbc="T T T"
Y 0.0000 0.0000 0.0000
Cr -0.4089 -2.2780 2.9947
O -0.3399 -2.1796 -0.0774
F -1.5512 0.1899 1.4622
O 1.4823 -0.2883 1.6099
```

Output
* spin magnetization: 3.99 μB/f.u.
* density of states at the Fermi level: 0.56 states/eV/atom
* SG: P4/mmm (123)
* calculated volume: 16.7 Å³/atom
* DFT total energy: -35.71 eV per cell